1.
A relaxed structure of CeDyMg14, computed with GGA-PBE.

Cell lengths 6.911, 6.911, 8.089 Å; angles 90.00, 90.00, 90.00 degrees
Fractional positions:
Ce: 0.000 0.000 0.000
Dy: 0.500 0.500 0.000
Mg: 0.000 0.000 0.500
Mg: 0.000 0.500 0.000
Mg: 0.000 0.500 0.500
Mg: 0.252 0.252 0.263
Mg: 0.252 0.252 0.737
Mg: 0.252 0.748 0.263
Mg: 0.252 0.748 0.737
Mg: 0.500 0.000 0.000
Mg: 0.500 0.000 0.500
Mg: 0.500 0.500 0.500
Mg: 0.748 0.252 0.263
Mg: 0.748 0.252 0.737
Mg: 0.748 0.748 0.263
Mg: 0.748 0.748 0.737

Results
- ΔH_f (0 K): -0.01 eV/atom

2.
A relaxed structure of SrCaTa2, computed with GGA-PBE.

Cell lengths 3.245, 3.245, 10.808 Å; angles 90.00, 90.00, 108.42 degrees
Fractional positions:
Sr: 0.000 0.000 0.000
Ca: 0.500 0.500 0.328
Ta: 0.000 0.000 0.570
Ta: 0.500 0.500 0.743

Results
- ΔH_f (0 K): 0.65 eV/atom

3.
A relaxed structure of Sn2PRu2, computed with GGA-PBE.

Cell lengths 7.673, 7.673, 3.084 Å; angles 90.00, 90.00, 90.00 degrees
Fractional positions:
Sn: 0.149 0.351 0.000
Sn: 0.351 0.851 0.000
Sn: 0.649 0.149 0.000
Sn: 0.851 0.649 0.000
P: 0.000 0.000 0.000
P: 0.500 0.500 0.000
Ru: 0.148 0.648 0.500
Ru: 0.352 0.148 0.500
Ru: 0.648 0.852 0.500
Ru: 0.852 0.352 0.500

Results
- ΔH_f (0 K): 0.39 eV/atom

4.
A relaxed structure of Zr3Ni, computed with GGA-PBE.

Cell lengths 8.056, 8.056, 5.564 Å; angles 110.12, 110.12, 83.12 degrees
Fractional positions:
Zr: 0.000 0.000 0.000
Zr: 0.000 0.281 0.641
Zr: 0.166 0.641 0.136
Zr: 0.359 0.046 0.459
Zr: 0.359 0.448 0.670
Zr: 0.359 0.834 0.864
Zr: 0.360 0.235 0.053
Zr: 0.552 0.641 0.330
Zr: 0.719 0.000 0.359
Zr: 0.719 0.281 0.000
Zr: 0.765 0.640 0.947
Zr: 0.954 0.641 0.541
Ni: 0.066 0.348 0.208
Ni: 0.066 0.934 0.500
Ni: 0.652 0.348 0.500
Ni: 0.652 0.934 0.792

Results
- ΔH_f (0 K): -0.20 eV/atom

5.
A relaxed structure of CaCe2NdN4, computed with GGA-PBE.

Cell lengths 6.174, 3.596, 6.210 Å; angles 90.00, 109.38, 90.00 degrees
Fractional positions:
Ca: 0.000 0.000 0.000
Ce: 0.500 0.000 0.500
Ce: 0.500 0.500 0.000
Nd: 0.000 0.500 0.500
N: 0.268 0.000 0.753
N: 0.275 0.500 0.262
N: 0.725 0.500 0.738
N: 0.732 0.000 0.247

Results
- Raw formation energy: -1.37 eV per atom

6.
A relaxed structure of CaNd2Si2, computed with GGA-PBE.

Cell lengths 7.704, 7.704, 4.390 Å; angles 90.00, 90.00, 90.00 degrees
Fractional positions:
Ca: 0.000 0.000 0.000
Ca: 0.500 0.500 0.000
Nd: 0.178 0.322 0.500
Nd: 0.322 0.822 0.500
Nd: 0.678 0.178 0.500
Nd: 0.822 0.678 0.500
Si: 0.111 0.611 0.000
Si: 0.389 0.111 0.000
Si: 0.611 0.889 0.000
Si: 0.889 0.389 0.000

Results
- Raw formation energy: -0.65 eV per atom

7.
A relaxed structure of AsHSe2I, computed with GGA-PBE.

Cell lengths 4.561, 4.561, 4.578 Å; angles 90.00, 90.00, 90.00 degrees
Fractional positions:
As: 0.000 0.000 0.000
H: 0.000 0.000 0.500
Se: 0.000 0.500 0.500
Se: 0.500 0.000 0.500
I: 0.500 0.500 0.000

Results
- Raw total energy: -2.444 eV/atom

8.
A relaxed structure of TbCe2Lu, computed with GGA-PBE.

Cell lengths 11.585, 11.585, 11.585 Å; angles 17.21, 17.21, 17.21 degrees
Fractional positions:
Tb: 0.000 0.000 0.000
Ce: 0.249 0.249 0.249
Ce: 0.751 0.751 0.751
Lu: 0.500 0.500 0.500

Results
- ΔH_f (0 K): 0.09 eV/atom

9.
A relaxed structure of NpFeCoSi2, computed with GGA-PBE.

Cell lengths 5.555, 5.555, 5.555 Å; angles 138.93, 138.93, 59.49 degrees
Fractional positions:
Np: 0.000 0.000 0.000
Fe: 0.750 0.250 0.500
Co: 0.250 0.750 0.500
Si: 0.372 0.372 0.000
Si: 0.628 0.628 0.000

Results
- Raw formation energy: -0.47 eV per atom

10.
A relaxed structure of La6Ru3Br, computed with GGA-PBE.

Cell lengths 12.212, 4.200, 12.441 Å; angles 90.00, 108.71, 90.00 degrees
Fractional positions:
La: 0.041 0.250 0.389
La: 0.090 0.250 0.932
La: 0.219 0.750 0.253
La: 0.260 0.250 0.691
La: 0.400 0.750 0.534
La: 0.438 0.250 0.158
La: 0.562 0.750 0.842
La: 0.600 0.250 0.466
La: 0.740 0.750 0.309
La: 0.781 0.250 0.747
La: 0.910 0.750 0.068
La: 0.959 0.750 0.611
Ru: 0.085 0.250 0.156
Ru: 0.171 0.750 0.528
Ru: 0.489 0.750 0.308
Ru: 0.511 0.250 0.692
Ru: 0.829 0.250 0.472
Ru: 0.915 0.750 0.844
Br: 0.337 0.750 0.929
Br: 0.663 0.250 0.071

Results
- Raw formation energy: -0.49 eV per atom

11.
A relaxed structure of CaZnCr2, computed with GGA-PBE.

Cell lengths 4.726, 4.726, 4.726 Å; angles 120.40, 120.17, 89.51 degrees
Fractional positions:
Ca: 0.000 0.000 0.000
Zn: 0.251 0.751 0.500
Cr: 0.501 0.501 0.000
Cr: 0.749 0.249 0.500

Results
- ΔH_f (0 K): 0.42 eV/atom

12.
A relaxed structure of Sc5Hg3, computed with GGA-PBE.

Cell lengths 6.184, 6.184, 4.883 Å; angles 90.00, 90.00, 106.26 degrees
Fractional positions:
Sc: 0.000 0.000 0.000
Sc: 0.000 0.500 0.000
Sc: 0.277 0.277 0.500
Sc: 0.500 0.000 0.000
Sc: 0.723 0.723 0.500
Hg: 0.218 0.782 0.500
Hg: 0.500 0.500 0.000
Hg: 0.782 0.218 0.500

Results
- ΔH_f (0 K): -0.29 eV/atom

13.
A relaxed structure of BeReIr, computed with GGA-PBE.

Cell lengths 2.754, 4.296, 6.567 Å; angles 85.48, 77.92, 89.99 degrees
Fractional positions:
Be: 0.000 0.000 0.000
Be: 0.129 0.398 0.746
Re: 0.338 0.954 0.326
Re: 0.466 0.493 0.069
Ir: 0.648 0.896 0.705
Ir: 0.783 0.438 0.436

Results
- ΔH_f (0 K): -0.22 eV/atom

14.
A relaxed structure of RbHgBr6, computed with GGA-PBE.

Cell lengths 6.880, 6.880, 6.880 Å; angles 106.51, 106.51, 106.51 degrees
Fractional positions:
Rb: 0.000 0.000 0.000
Hg: 0.500 0.500 0.500
Br: 0.184 0.184 0.561
Br: 0.184 0.561 0.184
Br: 0.439 0.816 0.816
Br: 0.561 0.184 0.184
Br: 0.816 0.439 0.816
Br: 0.816 0.816 0.439

Results
- Raw formation energy: -0.42 eV per atom

15.
A relaxed structure of TbZrZn, computed with GGA-PBE.

Cell lengths 4.870, 4.870, 3.432 Å; angles 90.00, 90.00, 120.00 degrees
Fractional positions:
Tb: 0.000 0.000 0.000
Zr: 0.333 0.667 0.498
Zn: 0.667 0.333 0.508

Results
- ΔH_f (0 K): 0.02 eV/atom

16.
A relaxed structure of DyAlZn4, computed with GGA-PBE.

Cell lengths 8.131, 8.131, 6.670 Å; angles 90.00, 90.00, 149.12 degrees
Fractional positions:
Dy: 0.120 0.880 0.750
Dy: 0.880 0.120 0.250
Al: 0.342 0.658 0.750
Al: 0.658 0.342 0.250
Zn: 0.067 0.933 0.250
Zn: 0.261 0.739 0.076
Zn: 0.261 0.739 0.424
Zn: 0.500 0.500 0.000
Zn: 0.500 0.500 0.500
Zn: 0.739 0.261 0.576
Zn: 0.739 0.261 0.924
Zn: 0.933 0.067 0.750

Results
- ΔH_f (0 K): -0.08 eV/atom

17.
A relaxed structure of TbCu2S3, computed with GGA-PBE.

Cell lengths 7.119, 7.119, 4.764 Å; angles 90.00, 90.00, 110.90 degrees
Fractional positions:
Tb: 0.238 0.762 0.750
Tb: 0.762 0.238 0.250
Cu: 0.303 0.303 0.000
Cu: 0.303 0.303 0.500
Cu: 0.697 0.697 0.000
Cu: 0.697 0.697 0.500
S: 0.046 0.344 0.750
S: 0.344 0.046 0.250
S: 0.386 0.614 0.250
S: 0.614 0.386 0.750
S: 0.656 0.954 0.750
S: 0.954 0.656 0.250

Results
- Raw formation energy: -0.80 eV per atom

18.
A relaxed structure of RbAgSCl2, computed with GGA-PBE.

Cell lengths 6.077, 6.077, 5.948 Å; angles 90.00, 90.00, 90.00 degrees
Fractional positions:
Rb: 0.000 0.000 0.000
Ag: 0.500 0.500 0.500
S: 0.000 0.000 0.500
Cl: 0.000 0.500 0.000
Cl: 0.500 0.000 0.000

Results
- Raw formation energy: 0.28 eV per atom

19.
A relaxed structure of InHgBr2, computed with GGA-PBE.

Cell lengths 4.015, 4.015, 9.592 Å; angles 90.00, 90.00, 119.82 degrees
Fractional positions:
In: 0.000 0.000 0.000
Hg: 0.500 0.500 0.771
Br: 0.000 0.000 0.574
Br: 0.500 0.500 0.206

Results
- Raw formation energy: -0.32 eV per atom

20.
A relaxed structure of SbPd8Pb2, computed with GGA-PBE.

Cell lengths 7.540, 7.540, 7.540 Å; angles 148.21, 116.17, 73.08 degrees
Fractional positions:
Sb: 0.000 0.000 0.000
Pd: 0.082 0.837 0.245
Pd: 0.178 0.678 0.500
Pd: 0.233 0.500 0.733
Pd: 0.408 0.163 0.245
Pd: 0.592 0.837 0.755
Pd: 0.767 0.500 0.267
Pd: 0.822 0.322 0.500
Pd: 0.918 0.163 0.755
Pb: 0.348 0.348 0.000
Pb: 0.652 0.652 0.000

Results
- Raw formation energy: -0.29 eV per atom

21.
A relaxed structure of ScCoSi2, computed with GGA-PBE.

Cell lengths 8.173, 8.173, 8.173 Å; angles 20.57, 20.57, 20.57 degrees
Fractional positions:
Sc: 0.000 0.000 0.000
Co: 0.500 0.500 0.500
Si: 0.237 0.237 0.237
Si: 0.763 0.763 0.763

Results
- Raw formation energy: -0.18 eV per atom

22.
A relaxed structure of TaMnTc2, computed with GGA-PBE.

Cell lengths 3.142, 3.142, 6.079 Å; angles 90.00, 90.00, 90.00 degrees
Fractional positions:
Ta: 0.000 0.000 0.000
Mn: 0.000 0.000 0.500
Tc: 0.500 0.500 0.259
Tc: 0.500 0.500 0.741

Results
- ΔH_f (0 K): -0.14 eV/atom

23.
A relaxed structure of BaCaAl2Co, computed with GGA-PBE.

Cell lengths 4.811, 4.811, 5.233 Å; angles 90.00, 90.00, 90.00 degrees
Fractional positions:
Ba: 0.000 0.000 0.000
Ca: 0.500 0.500 0.000
Al: 0.000 0.500 0.500
Al: 0.500 0.000 0.500
Co: 0.500 0.500 0.500

Results
- ΔH_f (0 K): -0.14 eV/atom

24.
A relaxed structure of Ce6Eu, computed with GGA-PBE.

Cell lengths 6.659, 6.659, 6.659 Å; angles 109.47, 109.47, 109.47 degrees
Fractional positions:
Ce: 0.250 0.500 0.750
Ce: 0.250 0.750 0.500
Ce: 0.500 0.250 0.750
Ce: 0.500 0.750 0.250
Ce: 0.750 0.250 0.500
Ce: 0.750 0.500 0.250
Eu: 0.000 0.000 0.000

Results
- ΔH_f (0 K): 0.59 eV/atom

no.,total moment (μB per cell)
1,1.245
2,0.000
3,0.061
4,0.000
5,0.389
6,0.000
7,0.000
8,1.440
9,3.324
10,0.000
11,0.361
12,2.641
13,0.000
14,0.000
15,0.000
16,0.000
17,0.000
18,2.059
19,0.000
20,0.000
21,0.005
22,2.303
23,0.000
24,3.385